# 1
The following is a PBE calculation of crystalline Ba3Pt3Pb4 at its relaxed geometry, from the Alexandria database.

Results
electronic total energy: -4.364 eV per atom
total moment: 0.000 μB per atom
formation enthalpy at 0 K: -0.49 eV/atom
crystal system: cubic

Structure (POSCAR):
```
Ba3Pt3Pb4
1.0
-5.348 5.348 5.348
5.348 -5.348 5.348
5.348 5.348 -5.348
Ba Pt Pb
6 6 8
direct
0.125 0.750 0.875
0.250 0.625 0.375
0.375 0.250 0.625
0.625 0.375 0.250
0.750 0.875 0.125
0.875 0.125 0.750
0.125 0.875 0.250
0.250 0.125 0.875
0.375 0.625 0.750
0.625 0.750 0.375
0.750 0.375 0.625
0.875 0.250 0.125
0.000 0.341 0.500
0.000 0.841 0.500
0.159 0.159 0.159
0.341 0.500 0.000
0.500 0.000 0.341
0.500 0.000 0.841
0.659 0.659 0.659
0.841 0.500 0.000
```

# 2
The following is a PBE calculation of crystalline LiFe2P at its relaxed geometry, from the Alexandria database.

Results
electronic total energy: -6.093 eV per atom
total moment: 0.929 μB per atom
formation enthalpy at 0 K: -0.03 eV/atom
crystal system: monoclinic

Structure (POSCAR):
```
LiFe2P
1.0
2.538 0.000 0.000
0.000 3.835 0.000
-0.604 0.000 4.635
Li Fe P
1 2 1
direct
0.000 0.000 0.000
0.299 0.500 0.746
0.701 0.500 0.254
0.500 0.000 0.500
```

# 3
The following is a PBE calculation of crystalline KSr3Pb2 at its relaxed geometry, from the Alexandria database.

Results
electronic total energy: -2.656 eV per atom
total moment: 0.000 μB per atom
formation enthalpy at 0 K: -0.40 eV/atom
crystal system: orthorhombic

Structure (POSCAR):
```
KSr3Pb2
1.0
5.823 0.000 0.000
0.000 10.492 0.000
0.000 0.000 7.752
K Sr Pb
2 6 4
direct
0.000 0.042 0.000
0.000 0.958 0.500
0.000 0.319 0.665
0.000 0.681 0.165
0.500 0.166 0.290
0.500 0.459 0.964
0.500 0.541 0.464
0.500 0.834 0.790
0.000 0.359 0.216
0.000 0.641 0.716
0.500 0.166 0.744
0.500 0.834 0.244
```

# 4
The following is a PBE calculation of crystalline La2HoTm2Cd5 at its relaxed geometry, from the Alexandria database.

Results
electronic total energy: -3.004 eV per atom
total moment: 0.000 μB per atom
formation enthalpy at 0 K: -0.21 eV/atom
crystal system: tetragonal

Structure (POSCAR):
```
La2HoTm2Cd5
1.0
10.707 0.000 0.000
0.000 10.707 0.000
0.000 0.000 4.745
La Ho Tm Cd
4 2 4 10
direct
0.176 0.324 0.000
0.324 0.824 0.000
0.676 0.176 0.000
0.824 0.676 0.000
0.000 0.000 0.000
0.500 0.500 0.000
0.123 0.623 0.000
0.377 0.123 0.000
0.623 0.877 0.000
0.877 0.377 0.000
0.000 0.500 0.500
0.067 0.804 0.500
0.196 0.067 0.500
0.304 0.567 0.500
0.433 0.304 0.500
0.500 0.000 0.500
0.567 0.696 0.500
0.696 0.433 0.500
0.804 0.933 0.500
0.933 0.196 0.500
```

# 5
The following is a PBE calculation of crystalline LuZnInCu at its relaxed geometry, from the Alexandria database.

Results
electronic total energy: -3.432 eV per atom
total moment: 0.001 μB per atom
formation enthalpy at 0 K: -0.27 eV/atom
crystal system: cubic

Structure (POSCAR):
```
LuZnInCu
1.0
0.000 3.332 3.332
3.332 0.000 3.332
3.332 3.332 0.000
Lu Zn In Cu
1 1 1 1
direct
0.000 0.000 0.000
0.750 0.750 0.750
0.500 0.500 0.500
0.250 0.250 0.250
```

# 6
The following is a PBE calculation of crystalline Pm2Nd4Te3N2 at its relaxed geometry, from the Alexandria database.

Results
electronic total energy: -6.133 eV per atom
total moment: 0.000 μB per atom
ΔE_f (raw): -1.16 eV per atom
crystal system: tetragonal

Structure (POSCAR):
```
Pm2Nd4Te3N2
1.0
-2.367 2.367 13.244
2.367 -2.367 13.244
2.367 2.367 -13.244
Pm Nd Te N
2 4 3 2
direct
0.194 0.194 0.000
0.806 0.806 0.000
0.083 0.583 0.500
0.417 0.917 0.500
0.583 0.083 0.500
0.917 0.417 0.500
0.321 0.321 0.000
0.500 0.500 0.000
0.679 0.679 0.000
0.109 0.109 0.000
0.891 0.891 0.000
```